(1)
# Ac2La4PmEr | the Alexandria database | PBE-GGA | optimized geometry
data_Ac2La4PmEr
_chemical_formula_sum 'Ac2 La4 Pm1 Er1'
_symmetry_space_group_name_H-M 'P 1 2/m 1'
_symmetry_Int_Tables_number 10
_cell_length_a 5.294
_cell_length_b 5.341
_cell_length_c 10.668
_cell_angle_alpha 90.00
_cell_angle_beta 90.07
_cell_angle_gamma 90.00
loop_
_symmetry_equiv_pos_as_xyz
'x,y,z'
'-x,-y,-z'
'-x,y,-z'
'x,-y,z'
loop_
_atom_site_label
_atom_site_type_symbol
_atom_site_fract_x
_atom_site_fract_y
_atom_site_fract_z
Ac1 Ac 0.000 0.000 0.000
Ac2 Ac 0.500 0.500 0.500
La1 La 0.000 0.500 0.251
La2 La 0.499 0.000 0.748
Pm1 Pm 0.500 0.500 0.000
Er1 Er 0.000 0.000 0.500
# Fermi-level density of states in states/eV per atom: 1.83
# DFT total energy in eV for the cell shown: -37.0
# ΔH_f (0 K) in eV/atom: 0.033


(2)
# CeSm2Pd | the Alexandria database | PBE-GGA | optimized geometry
data_CeSm2Pd
_chemical_formula_sum 'Ce4 Sm8 Pd4'
_symmetry_space_group_name_H-M 'F m -3 m'
_symmetry_Int_Tables_number 225
_symmetry_space_group_name_Hall '-F 4 2 3'
_cell_length_a 7.336
_cell_length_b 7.336
_cell_length_c 7.336
_cell_angle_alpha 90.00
_cell_angle_beta 90.00
_cell_angle_gamma 90.00
loop_
_atom_site_label
_atom_site_type_symbol
_atom_site_fract_x
_atom_site_fract_y
_atom_site_fract_z
Ce1 Ce 0.000 0.000 0.000
Sm1 Sm 0.250 0.250 0.250
Pd1 Pd 0.000 0.000 0.500
# Fermi-level density of states in states/eV per atom: 1.82
# DFT total energy in eV for the cell shown: -83.8
# ΔH_f (0 K) in eV/atom: -0.096


(3)
# Ca2ReSi | the Alexandria database | PBE-GGA | optimized geometry
data_Ca2ReSi
_chemical_formula_sum 'Ca2 Re1 Si1'
_symmetry_space_group_name_H-M 'P 4 m m'
_symmetry_Int_Tables_number 99
_cell_length_a 3.348
_cell_length_b 3.348
_cell_length_c 8.365
_cell_angle_alpha 90.00
_cell_angle_beta 90.00
_cell_angle_gamma 90.00
loop_
_symmetry_equiv_pos_as_xyz
'x,y,z'
'-y,x,z'
'-x,-y,z'
'y,-x,z'
'-x,y,z'
'y,x,z'
'x,-y,z'
'-y,-x,z'
loop_
_atom_site_label
_atom_site_type_symbol
_atom_site_fract_x
_atom_site_fract_y
_atom_site_fract_z
Ca1 Ca 0.000 0.000 0.000
Ca2 Ca 0.500 0.500 0.405
Re1 Re 0.000 0.000 0.655
Si1 Si 0.500 0.500 0.758
# Fermi-level density of states in states/eV per atom: 1.03
# DFT total energy in eV for the cell shown: -22.0
# Uncorrected formation energy in eV per atom: -0.028


(4)
# Ag2HgN2 | the Alexandria database | PBE-GGA | optimized geometry
data_Ag2HgN2
_chemical_formula_sum 'Ag4 Hg2 N4'
_symmetry_space_group_name_H-M 'I 4/m m m'
_symmetry_Int_Tables_number 139
_symmetry_space_group_name_Hall '-I 4 2'
_cell_length_a 4.393
_cell_length_b 4.393
_cell_length_c 9.502
_cell_angle_alpha 90.00
_cell_angle_beta 90.00
_cell_angle_gamma 90.00
loop_
_atom_site_label
_atom_site_type_symbol
_atom_site_fract_x
_atom_site_fract_y
_atom_site_fract_z
Ag1 Ag 0.000 0.500 0.250
Hg1 Hg 0.000 0.000 0.000
N1 N 0.000 0.000 0.440
# Fermi-level density of states in states/eV per atom: 0.09
# DFT total energy in eV for the cell shown: -40.2
# Uncorrected formation energy in eV per atom: 0.511


(5)
# KMgHg6 | the Alexandria database | PBE-GGA | optimized geometry
data_KMgHg6
_chemical_formula_sum 'K2 Mg2 Hg12'
_symmetry_space_group_name_H-M 'C 1 2/m 1'
_symmetry_Int_Tables_number 12
_cell_length_a 13.690
_cell_length_b 6.946
_cell_length_c 5.148
_cell_angle_alpha 90.00
_cell_angle_beta 111.71
_cell_angle_gamma 90.00
loop_
_symmetry_equiv_pos_as_xyz
'x,y,z'
'-x,-y,-z'
'-x,y,-z'
'x,-y,z'
'x+1/2,y+1/2,z'
'-x+1/2,-y+1/2,-z'
'-x+1/2,y+1/2,-z'
'x+1/2,-y+1/2,z'
loop_
_atom_site_label
_atom_site_type_symbol
_atom_site_fract_x
_atom_site_fract_y
_atom_site_fract_z
K1 K 0.000 0.000 0.000
Mg1 Mg 0.000 0.500 0.500
Hg1 Hg 0.123 0.500 0.119
Hg2 Hg 0.170 0.226 0.667
# Fermi-level density of states in states/eV per atom: 0.35
# DFT total energy in eV for the cell shown: -11.6
# ΔH_f (0 K) in eV/atom: -0.162


(6)
# AcZnPdPt | the Alexandria database | PBE-GGA | optimized geometry
data_AcZnPdPt
_chemical_formula_sum 'Ac4 Zn4 Pd4 Pt4'
_symmetry_space_group_name_H-M 'F -4 3 m'
_symmetry_Int_Tables_number 216
_symmetry_space_group_name_Hall 'F -4 2 3'
_cell_length_a 7.029
_cell_length_b 7.029
_cell_length_c 7.029
_cell_angle_alpha 90.00
_cell_angle_beta 90.00
_cell_angle_gamma 90.00
loop_
_atom_site_label
_atom_site_type_symbol
_atom_site_fract_x
_atom_site_fract_y
_atom_site_fract_z
Ac1 Ac 0.000 0.000 0.000
Zn1 Zn 0.000 0.000 0.500
Pd1 Pd 0.250 0.250 0.750
Pt1 Pt 0.250 0.250 0.250
# Fermi-level density of states in states/eV per atom: 0.60
# DFT total energy in eV for the cell shown: -75.7
# ΔH_f (0 K) in eV/atom: -0.576


(7)
# Mn2SiCl | the Alexandria database | PBE-GGA | optimized geometry
data_Mn2SiCl
_chemical_formula_sum 'Mn8 Si4 Cl4'
_symmetry_space_group_name_H-M 'I -4 2 d'
_symmetry_Int_Tables_number 122
_symmetry_space_group_name_Hall 'I -4 2bw'
_cell_length_a 5.328
_cell_length_b 5.328
_cell_length_c 9.207
_cell_angle_alpha 90.00
_cell_angle_beta 90.00
_cell_angle_gamma 90.00
loop_
_atom_site_label
_atom_site_type_symbol
_atom_site_fract_x
_atom_site_fract_y
_atom_site_fract_z
Mn1 Mn 0.231 0.250 0.125
Si1 Si 0.000 0.000 0.500
Cl1 Cl 0.000 0.000 0.000
# Fermi-level density of states in states/eV per atom: 1.30
# DFT total energy in eV for the cell shown: -91.7
# Uncorrected formation energy in eV per atom: 0.669


(8)
# TlMo3N | the Alexandria database | PBE-GGA | optimized geometry
data_TlMo3N
_chemical_formula_sum 'Tl1 Mo3 N1'
_symmetry_space_group_name_H-M 'P m -3 m'
_symmetry_Int_Tables_number 221
_symmetry_space_group_name_Hall '-P 4 2 3'
_cell_length_a 4.983
_cell_length_b 4.983
_cell_length_c 4.983
_cell_angle_alpha 90.00
_cell_angle_beta 90.00
_cell_angle_gamma 90.00
loop_
_atom_site_label
_atom_site_type_symbol
_atom_site_fract_x
_atom_site_fract_y
_atom_site_fract_z
Tl1 Tl 0.000 0.000 0.000
Mo1 Mo 0.000 0.000 0.500
N1 N 0.500 0.500 0.500
# Fermi-level density of states in states/eV per atom: 1.82
# DFT total energy in eV for the cell shown: -23.7
# Uncorrected formation energy in eV per atom: 3.894


(9)
# CeGdTcRu | the Alexandria database | PBE-GGA | optimized geometry
data_CeGdTcRu
_chemical_formula_sum 'Ce4 Gd4 Tc4 Ru4'
_symmetry_space_group_name_H-M 'F -4 3 m'
_symmetry_Int_Tables_number 216
_symmetry_space_group_name_Hall 'F -4 2 3'
_cell_length_a 6.886
_cell_length_b 6.886
_cell_length_c 6.886
_cell_angle_alpha 90.00
_cell_angle_beta 90.00
_cell_angle_gamma 90.00
loop_
_atom_site_label
_atom_site_type_symbol
_atom_site_fract_x
_atom_site_fract_y
_atom_site_fract_z
Ce1 Ce 0.000 0.000 0.000
Gd1 Gd 0.000 0.000 0.500
Tc1 Tc 0.250 0.250 0.250
Ru1 Ru 0.250 0.250 0.750
# Fermi-level density of states in states/eV per atom: 0.69
# DFT total energy in eV for the cell shown: -160.5
# ΔH_f (0 K) in eV/atom: -0.115


(10)
# BiAu | the Alexandria database | PBE-GGA | optimized geometry
data_BiAu
_chemical_formula_sum 'Bi6 Au6'
_symmetry_space_group_name_H-M 'I m m 2'
_symmetry_Int_Tables_number 44
_cell_length_a 4.603
_cell_length_b 12.403
_cell_length_c 5.695
_cell_angle_alpha 90.00
_cell_angle_beta 90.00
_cell_angle_gamma 90.00
loop_
_symmetry_equiv_pos_as_xyz
'x,y,z'
'-x,-y,z'
'-x,y,z'
'x,-y,z'
'x+1/2,y+1/2,z+1/2'
'-x+1/2,-y+1/2,z+1/2'
'-x+1/2,y+1/2,z+1/2'
'x+1/2,-y+1/2,z+1/2'
loop_
_atom_site_label
_atom_site_type_symbol
_atom_site_fract_x
_atom_site_fract_y
_atom_site_fract_z
Bi1 Bi 0.000 0.000 0.000
Bi2 Bi 0.000 0.271 0.251
Au1 Au 0.000 0.375 0.729
Au2 Au 0.000 0.500 0.138
# Fermi-level density of states in states/eV per atom: 0.32
# DFT total energy in eV for the cell shown: -43.0
# ΔH_f (0 K) in eV/atom: -0.004


(11)
# Tl2NiPb | the Alexandria database | PBE-GGA | optimized geometry
data_Tl2NiPb
_chemical_formula_sum 'Tl4 Ni2 Pb2'
_symmetry_space_group_name_H-M 'C m m m'
_symmetry_Int_Tables_number 65
_symmetry_space_group_name_Hall '-C 2 2'
_cell_length_a 5.163
_cell_length_b 11.677
_cell_length_c 3.579
_cell_angle_alpha 90.00
_cell_angle_beta 90.00
_cell_angle_gamma 90.00
loop_
_atom_site_label
_atom_site_type_symbol
_atom_site_fract_x
_atom_site_fract_y
_atom_site_fract_z
Tl1 Tl 0.000 0.173 0.000
Ni1 Ni 0.000 0.000 0.500
Pb1 Pb 0.000 0.500 0.500
# Fermi-level density of states in states/eV per atom: 0.61
# DFT total energy in eV for the cell shown: -26.9
# ΔH_f (0 K) in eV/atom: 0.193


(12)
# SnI2O2 | the Alexandria database | PBE-GGA | optimized geometry
data_SnI2O2
_chemical_formula_sum 'Sn1 I2 O2'
_symmetry_space_group_name_H-M 'P 4/m m m'
_symmetry_Int_Tables_number 123
_symmetry_space_group_name_Hall '-P 4 2'
_cell_length_a 4.221
_cell_length_b 4.221
_cell_length_c 6.872
_cell_angle_alpha 90.00
_cell_angle_beta 90.00
_cell_angle_gamma 90.00
loop_
_atom_site_label
_atom_site_type_symbol
_atom_site_fract_x
_atom_site_fract_y
_atom_site_fract_z
Sn1 Sn 0.000 0.000 0.000
I1 I 0.000 0.000 0.500
I2 I 0.500 0.500 0.500
O1 O 0.000 0.500 0.000
# Fermi-level density of states in states/eV per atom: 0.40
# DFT total energy in eV for the cell shown: -18.2
# Uncorrected formation energy in eV per atom: -0.236


(13)
# Sr2Li7Mg | the Alexandria database | PBE-GGA | optimized geometry
data_Sr2Li7Mg
_chemical_formula_sum 'Sr8 Li28 Mg4'
_symmetry_space_group_name_H-M 'F m -3 m'
_symmetry_Int_Tables_number 225
_symmetry_space_group_name_Hall '-F 4 2 3'
_cell_length_a 10.541
_cell_length_b 10.541
_cell_length_c 10.541
_cell_angle_alpha 90.00
_cell_angle_beta 90.00
_cell_angle_gamma 90.00
loop_
_atom_site_label
_atom_site_type_symbol
_atom_site_fract_x
_atom_site_fract_y
_atom_site_fract_z
Sr1 Sr 0.250 0.250 0.250
Li1 Li 0.000 0.000 0.000
Li2 Li 0.000 0.000 0.242
Mg1 Mg 0.000 0.000 0.500
# Fermi-level density of states in states/eV per atom: 0.86
# DFT total energy in eV for the cell shown: -67.8
# ΔH_f (0 K) in eV/atom: 0.140


(14)
# Pm3Nd6Sm2Dy | the Alexandria database | PBE-GGA | optimized geometry
data_Pm3Nd6Sm2Dy
_chemical_formula_sum 'Pm6 Nd12 Sm4 Dy2'
_symmetry_space_group_name_H-M 'C 1 2/m 1'
_symmetry_Int_Tables_number 12
_cell_length_a 6.336
_cell_length_b 10.973
_cell_length_c 12.093
_cell_angle_alpha 90.00
_cell_angle_beta 100.08
_cell_angle_gamma 90.00
loop_
_symmetry_equiv_pos_as_xyz
'x,y,z'
'-x,-y,-z'
'-x,y,-z'
'x,-y,z'
'x+1/2,y+1/2,z'
'-x+1/2,-y+1/2,-z'
'-x+1/2,y+1/2,-z'
'x+1/2,-y+1/2,z'
loop_
_atom_site_label
_atom_site_type_symbol
_atom_site_fract_x
_atom_site_fract_y
_atom_site_fract_z
Pm1 Pm 0.000 0.000 0.000
Pm2 Pm 0.000 0.333 0.000
Nd1 Nd 0.249 0.334 0.748
Nd2 Nd 0.250 0.000 0.749
Sm1 Sm 0.000 0.167 0.500
Dy1 Dy 0.000 0.500 0.500
# Fermi-level density of states in states/eV per atom: 1.45
# DFT total energy in eV for the cell shown: -113.5
# ΔH_f (0 K) in eV/atom: 0.013


(15)
# NaSn2Au | the Alexandria database | PBE-GGA | optimized geometry
data_NaSn2Au
_chemical_formula_sum 'Na3 Sn6 Au3'
_symmetry_space_group_name_H-M 'R -3 m'
_symmetry_Int_Tables_number 166
_symmetry_space_group_name_Hall '-R 3 2"'
_cell_length_a 4.5447
_cell_length_b 4.5447
_cell_length_c 24.4926
_cell_angle_alpha 90.00
_cell_angle_beta 90.00
_cell_angle_gamma 120.00
loop_
_atom_site_label
_atom_site_type_symbol
_atom_site_fract_x
_atom_site_fract_y
_atom_site_fract_z
Na1 Na 0.0000 0.0000 0.0000
Sn1 Sn 0.0000 0.0000 0.1256
Au1 Au 0.0000 0.0000 0.5000
# Fermi-level density of states in states/eV per atom: 0.33
# DFT total energy in eV for the cell shown: -38.8
# ΔH_f (0 K) in eV/atom: -0.085


(16)
# Pr4DyTm3S8 | the Alexandria database | PBE-GGA | optimized geometry
data_Pr4DyTm3S8
_chemical_formula_sum 'Pr12 Dy3 Tm9 S24'
_symmetry_space_group_name_H-M 'R -3 m'
_symmetry_Int_Tables_number 166
_symmetry_space_group_name_Hall '-R 3 2"'
_cell_length_a 7.8516
_cell_length_b 7.8516
_cell_length_c 20.1180
_cell_angle_alpha 90.00
_cell_angle_beta 90.00
_cell_angle_gamma 120.00
loop_
_atom_site_label
_atom_site_type_symbol
_atom_site_fract_x
_atom_site_fract_y
_atom_site_fract_z
Pr1 Pr 0.0000 0.0000 0.0000
Pr2 Pr 0.0000 0.5000 0.0000
Dy1 Dy 0.0000 0.0000 0.5000
Tm1 Tm 0.0000 0.5000 0.5000
S1 S 0.0000 0.0000 0.2413
S2 S 0.0030 0.5015 0.7581
# Fermi-level density of states in states/eV per atom: 0.36
# DFT total energy in eV for the cell shown: -306.2
# Uncorrected formation energy in eV per atom: -1.994


(17)
# AsRh3 | the Alexandria database | PBE-GGA | optimized geometry
data_AsRh3
_chemical_formula_sum 'As2 Rh6'
_symmetry_space_group_name_H-M 'I 4/m m m'
_symmetry_Int_Tables_number 139
_symmetry_space_group_name_Hall '-I 4 2'
_cell_length_a 3.947
_cell_length_b 3.947
_cell_length_c 7.410
_cell_angle_alpha 90.00
_cell_angle_beta 90.00
_cell_angle_gamma 90.00
loop_
_atom_site_label
_atom_site_type_symbol
_atom_site_fract_x
_atom_site_fract_y
_atom_site_fract_z
As1 As 0.000 0.000 0.000
Rh1 Rh 0.000 0.000 0.500
Rh2 Rh 0.000 0.500 0.250
# Fermi-level density of states in states/eV per atom: 1.56
# DFT total energy in eV for the cell shown: -53.9
# ΔH_f (0 K) in eV/atom: -0.063


(18)
# Ca3Sn2Au9 | the Alexandria database | PBE-GGA | optimized geometry
data_Ca3Sn2Au9
_chemical_formula_sum 'Ca6 Sn4 Au18'
_symmetry_space_group_name_H-M 'I m m m'
_symmetry_Int_Tables_number 71
_symmetry_space_group_name_Hall '-I 2 2'
_cell_length_a 4.329
_cell_length_b 10.637
_cell_length_c 13.631
_cell_angle_alpha 90.00
_cell_angle_beta 90.00
_cell_angle_gamma 90.00
loop_
_atom_site_label
_atom_site_type_symbol
_atom_site_fract_x
_atom_site_fract_y
_atom_site_fract_z
Ca1 Ca 0.000 0.000 0.000
Ca2 Ca 0.000 0.000 0.289
Sn1 Sn 0.000 0.188 0.500
Au1 Au 0.000 0.298 0.148
Au2 Au 0.000 0.373 0.350
Au3 Au 0.000 0.500 0.000
# Fermi-level density of states in states/eV per atom: 0.28
# DFT total energy in eV for the cell shown: -101.2
# ΔH_f (0 K) in eV/atom: -0.506


(19)
# AgRh2Cl | the Alexandria database | PBE-GGA | optimized geometry
data_AgRh2Cl
_chemical_formula_sum 'Ag1 Rh2 Cl1'
_symmetry_space_group_name_H-M 'P 4/m m m'
_symmetry_Int_Tables_number 123
_symmetry_space_group_name_Hall '-P 4 2'
_cell_length_a 2.942
_cell_length_b 2.942
_cell_length_c 7.179
_cell_angle_alpha 90.00
_cell_angle_beta 90.00
_cell_angle_gamma 90.00
loop_
_atom_site_label
_atom_site_type_symbol
_atom_site_fract_x
_atom_site_fract_y
_atom_site_fract_z
Ag1 Ag 0.000 0.000 0.000
Rh1 Rh 0.500 0.500 0.272
Cl1 Cl 0.000 0.000 0.500
# Fermi-level density of states in states/eV per atom: 1.01
# DFT total energy in eV for the cell shown: -17.4
# Uncorrected formation energy in eV per atom: 0.507


(20)
# LaMn2W2 | the Alexandria database | PBE-GGA | optimized geometry
data_LaMn2W2
_chemical_formula_sum 'La2 Mn4 W4'
_symmetry_space_group_name_H-M 'P 4/m b m'
_symmetry_Int_Tables_number 127
_symmetry_space_group_name_Hall '-P 4 2ab'
_cell_length_a 7.647
_cell_length_b 7.647
_cell_length_c 2.864
_cell_angle_alpha 90.00
_cell_angle_beta 90.00
_cell_angle_gamma 90.00
loop_
_atom_site_label
_atom_site_type_symbol
_atom_site_fract_x
_atom_site_fract_y
_atom_site_fract_z
La1 La 0.000 0.000 0.000
Mn1 Mn 0.139 0.361 0.000
W1 W 0.139 0.639 0.500
# Fermi-level density of states in states/eV per atom: 1.82
# DFT total energy in eV for the cell shown: -93.2
# ΔH_f (0 K) in eV/atom: 0.512